No. 1
VASP calculation (SCAN) on a PBEsol-optimized structure of Sr2ZnTe2.

**ΔE_f (raw)**: -1.127 eV/atom
**VASP energy**: -27.640 eV/atom
**DOS(E_F)**: 2.74 states/eV per cell
**ρ**: 5.1 g/cm³

Cell: 8.771 8.771 4.198 Å, 90.00 90.00 90.00°
Space group P4/mbm (No. 127)
Unique sites:
Sr1 0.153 0.347 0.000 (multiplicity 4)
Zn1 0.000 0.000 0.500 (multiplicity 2)
Te1 0.152 0.652 0.500 (multiplicity 4)

***

No. 2
VASP calculation (SCAN) on a PBEsol-optimized structure of KZnIr.

**VASP energy**: -29.096 eV/atom
**Energy relative to the elements**: 1.885 eV per atom
**Polymorph energy (0 for the lowest one)**: 1.416 eV per atom
**DOS(E_F)**: 30.58 states/eV per cell
**ρ**: 6.9 g/cm³

Cell: 6.587 6.587 6.587 Å, 90.00 90.00 90.00°
Space group F-43m (No. 216)
Unique sites:
K1 0.000 0.000 0.000 (multiplicity 4)
Zn1 0.250 0.250 0.250 (multiplicity 4)
Ir1 0.250 0.250 0.750 (multiplicity 4)

***

No. 3
VASP calculation (SCAN) on a PBEsol-optimized structure of LiCu2.

**VASP energy**: -10.938 eV/atom
**Energy relative to the elements**: -0.009 eV per atom
**DOS(E_F)**: 4.46 states/eV per cell
**ρ**: 6.2 g/cm³

Cell: 2.529 13.603 4.150 Å, 90.00 90.00 90.00°
Space group Cmcm (No. 63)
Unique sites:
Li1 0.000 0.215 0.250 (multiplicity 4)
Cu1 0.000 0.107 0.750 (multiplicity 4)
Cu2 0.000 0.447 0.750 (multiplicity 4)

***

No. 4
VASP calculation (SCAN) on a PBEsol-optimized structure of TlIn2Sb.

**ΔE_f (raw)**: 0.067 eV/atom
**VASP energy**: -44.031 eV/atom
**Polymorph energy (0 for the lowest one)**: 0.026 eV per atom
**DOS(E_F)**: 1.64 states/eV per cell
**ρ**: 8.6 g/cm³

Cell: 4.970 4.970 4.328 Å, 90.00 90.00 90.00°
Space group P4/mmm (No. 123)
Unique sites:
Tl1 0.000 0.000 0.000 (multiplicity 1)
In1 0.000 0.500 0.500 (multiplicity 2)
Sb1 0.500 0.500 0.000 (multiplicity 1)

***

No. 5
VASP calculation (SCAN) on a PBEsol-optimized structure of Li3ScGe.

**VASP energy**: -7.973 eV/atom
**Energy relative to the elements**: 0.126 eV per atom
**DOS(E_F)**: 2.11 states/eV per cell
**ρ**: 2.4 g/cm³

Cell: 4.585 4.585 4.585 Å, 90.00 90.00 90.00°
Space group Pm-3m (No. 221)
Unique sites:
Li1 0.000 0.000 0.500 (multiplicity 3)
Sc1 0.500 0.500 0.500 (multiplicity 1)
Ge1 0.000 0.000 0.000 (multiplicity 1)

***

No. 6
VASP calculation (SCAN) on a PBEsol-optimized structure of Zr2TeAs.

**ΔE_f (raw)**: -1.052 eV/atom
**VASP energy**: -30.762 eV/atom
**DOS(E_F)**: 4.68 states/eV per cell
**ρ**: 7.2 g/cm³

Cell: 3.9533 3.9533 19.7702 Å, 90.00 90.00 120.00°
Space group R-3m (No. 166, hexagonal axes)
Unique sites:
Zr1 0.0000 0.0000 0.2322 (multiplicity 6)
Te1 0.0000 0.0000 0.0000 (multiplicity 3)
As1 0.0000 0.0000 0.5000 (multiplicity 3)

***

No. 7
VASP calculation (SCAN) on a PBEsol-optimized structure of BaSr.

**VASP energy**: -30.904 eV/atom
**Energy relative to the elements**: 0.008 eV per atom
**Polymorph energy (0 for the lowest one)**: 0.000 eV per atom
**DOS(E_F)**: 7.68 states/eV per cell
**ρ**: 3.4 g/cm³

Cell: 4.834 6.720 13.451 Å, 90.00 90.00 90.00°
Space group Cmme (No. 67)
Unique sites:
Ba1 0.000 0.250 0.128 (multiplicity 4)
Sr1 0.000 0.250 0.622 (multiplicity 4)

***

No. 8
VASP calculation (SCAN) on a PBEsol-optimized structure of Ba2CaMnFe2F14.

**ΔE_f (raw)**: -3.354 eV/atom
**VASP energy**: -12.996 eV/atom
**DOS(E_F)**: 34.23 states/eV per cell
**ρ**: 4.6 g/cm³

Cell: 13.561 5.378 14.837 Å, 90.00 91.62 90.00°
Space group C2/c (No. 15)
Unique sites:
Ba1 0.197 0.055 0.121 (multiplicity 8)
Ca1 0.000 0.422 0.750 (multiplicity 4)
Mn1 0.000 0.500 0.000 (multiplicity 4)
Fe1 0.118 0.020 0.375 (multiplicity 8)
F1 0.013 0.078 0.657 (multiplicity 8)
F2 0.053 0.429 0.117 (multiplicity 8)
F3 0.082 0.203 0.487 (multiplicity 8)
F4 0.126 0.303 0.293 (multiplicity 8)
F5 0.127 0.287 0.956 (multiplicity 8)
F6 0.161 0.204 0.776 (multiplicity 8)
F7 0.248 0.429 0.587 (multiplicity 8)

***

No. 9
VASP calculation (SCAN) on a PBEsol-optimized structure of TaTl2W.

**VASP energy**: -69.195 eV/atom
**Energy relative to the elements**: 1.052 eV per atom
**Polymorph energy (0 for the lowest one)**: 0.530 eV per atom
**DOS(E_F)**: 3.65 states/eV per cell
**ρ**: 16.7 g/cm³

Cell: 2.924 2.924 8.995 Å, 90.00 90.00 90.00°
Space group P4/mmm (No. 123)
Unique sites:
Ta1 0.000 0.000 0.000 (multiplicity 1)
Tl1 0.500 0.500 0.254 (multiplicity 2)
W1 0.000 0.000 0.500 (multiplicity 1)

***

No. 10
VASP calculation (SCAN) on a PBEsol-optimized structure of HgP2Os.

**VASP energy**: -40.042 eV/atom
**Energy relative to the elements**: 0.169 eV per atom
**DOS(E_F)**: 4.54 states/eV per cell
**ρ**: 10.5 g/cm³

Cell: 2.881 2.935 16.864 Å, 90.00 90.00 90.00°
Space group Imm2 (No. 44)
Unique sites:
Hg1 0.000 0.000 0.000 (multiplicity 2)
P1 0.000 0.000 0.349 (multiplicity 2)
P2 0.000 0.500 0.163 (multiplicity 2)
Os1 0.000 0.500 0.738 (multiplicity 2)

***

No. 11
VASP calculation (SCAN) on a PBEsol-optimized structure of AsP2Rh.

**VASP energy**: -18.857 eV/atom
**Energy relative to the elements**: -0.168 eV per atom
**DOS(E_F)**: 5.65 states/eV per cell
**ρ**: 5.2 g/cm³

Cell: 5.448 5.448 10.246 Å, 90.00 90.00 90.00°
Space group I-42d (No. 122)
Unique sites:
As1 0.000 0.000 0.000 (multiplicity 4)
P1 0.225 0.250 0.625 (multiplicity 8)
Rh1 0.000 0.000 0.500 (multiplicity 4)

***

No. 12
VASP calculation (SCAN) on a PBEsol-optimized structure of ReSbI2O.

**ΔE_f (raw)**: 1.100 eV/atom
**VASP energy**: -36.515 eV/atom
**Polymorph energy (0 for the lowest one)**: 0.933 eV per atom
**DOS(E_F)**: 5.84 states/eV per cell
**ρ**: 6.6 g/cm³

Cell: 5.340 5.340 5.105 Å, 90.00 90.00 90.00°
Space group P4/mmm (No. 123)
Unique sites:
Re1 0.000 0.000 0.000 (multiplicity 1)
Sb1 0.000 0.000 0.500 (multiplicity 1)
I1 0.000 0.500 0.000 (multiplicity 2)
O1 0.500 0.500 0.500 (multiplicity 1)